[1]
Density functional theory data (GGA-PBE) for ReRhCl3 after structural relaxation.

Structure (POSCAR):
```
ReRhCl3
1.0
4.843 0.000 0.000
0.000 4.843 0.000
0.000 0.000 4.843
Re Rh Cl
1 1 3
direct
0.000 0.000 0.000
0.500 0.500 0.500
0.000 0.500 0.500
0.500 0.000 0.500
0.500 0.500 0.000
```

Values from the calculation:
Symmetry = Pm-3m (221)
VASP energy = -4.182 eV/atom
ΔE_f (raw) = 0.886 eV per atom



[2]
Density functional theory data (GGA-PBE) for ReRh2Cl after structural relaxation.

Structure (POSCAR):
```
ReRh2Cl
1.0
-1.397 2.348 4.547
1.397 -2.348 4.547
1.397 2.348 -4.547
Re Rh Cl
1 2 1
direct
0.000 0.000 0.000
0.249 0.749 0.500
0.751 0.251 0.500
0.500 0.500 0.000
```

Values from the calculation:
Symmetry = Immm (71)
VASP energy = -6.568 eV/atom
ΔE_f (raw) = 0.682 eV per atom



> Look up the ΔE_f (raw) of the first one.

0.886 eV per atom



> Look up the ΔE_f (raw) of the second one.

0.682 eV per atom